No. 1
VCr2Pt PBE-GGA optimized geometry; E = -8.16 eV per atom
1.0
3.563 0.000 0.000
0.000 3.563 0.000
1.782 1.782 9.059
Cr Pt V
4 2 2
direct
0.579 0.125 0.250
0.171 0.625 0.250
0.375 0.421 0.750
0.875 0.829 0.750
0.000 0.000 0.000
0.750 0.250 0.500
0.500 0.500 0.000
0.250 0.750 0.500


No. 2
V2CrPt PBE-GGA optimized geometry; E = -8.14 eV per atom; E above lowest polymorph = 0.603 eV/atom
1.0
3.636 0.000 0.000
0.000 3.636 0.000
1.818 1.818 9.118
Cr Pt V
2 2 4
direct
0.500 0.500 0.000
0.250 0.750 0.500
0.000 0.000 0.000
0.750 0.250 0.500
0.616 0.125 0.250
0.134 0.625 0.250
0.375 0.384 0.750
0.875 0.866 0.750


No. 3
V2Cr2Pt PBE-GGA optimized geometry; E = -8.68 eV per atom
1.0
-1.650 -4.185 5.121
6.607 -1.271 1.090
0.120 2.205 1.841
Cr Pt V
4 2 4
direct
0.394 0.894 0.000
0.894 0.606 0.000
0.606 0.106 0.000
0.106 0.394 0.000
0.000 0.000 0.000
0.500 0.500 0.000
0.199 0.699 0.500
0.699 0.801 0.500
0.801 0.301 0.500
0.301 0.199 0.500


> Look up the E of the second one.

-8.14 eV per atom


What did the third record say?
V2Cr2Pt PBE-GGA optimized geometry; E = -8.68 eV per atom
1.0
-1.650 -4.185 5.121
6.607 -1.271 1.090
0.120 2.205 1.841
Cr Pt V
4 2 4
direct
0.394 0.894 0.000
0.894 0.606 0.000
0.606 0.106 0.000
0.106 0.394 0.000
0.000 0.000 0.000
0.500 0.500 0.000
0.199 0.699 0.500
0.699 0.801 0.500
0.801 0.301 0.500
0.301 0.199 0.500